[1]
Computed, not measured: a PBEsol-optimized structure of PrNdO2 at the meta-GGA SCAN level of DFT.

Calculated values
formation energy (no corrections): -2984 meV/atom
E: -27.83 eV per atom
relative energy among the computed polymorphs: 0.0000 eV per atom

Lattice parameters (Å, degrees): 3.5355 3.5355 6.1424 73.27 73.27 60.00
Fractional positions:
Pr 0.5000 0.5000 0.5000
Nd 0.0000 0.0000 0.0000
O 0.2531 0.2531 0.2408
O 0.7469 0.7469 0.7592



[2]
Computed, not measured: a PBEsol-optimized structure of PrNdO2 at the meta-GGA SCAN level of DFT.

Calculated values
formation energy (no corrections): -2980 meV/atom
E: -27.82 eV per atom
relative energy among the computed polymorphs: 0.0037 eV per atom

Lattice parameters (Å, degrees): 5.0045 5.0045 6.1329 114.08 114.08 90.00
Fractional positions:
Pr 0.2500 0.7500 0.5000
Pr 0.0000 0.0000 0.0000
Nd 0.5000 0.5000 0.0000
Nd 0.7500 0.2500 0.5000
O 0.5018 0.0018 0.0035
O 0.7482 0.7482 0.4965
O 0.2518 0.2518 0.5035
O 0.9982 0.4982 0.9965



[3]
Computed, not measured: a PBEsol-optimized structure of Nd2Pt2O7 at the meta-GGA SCAN level of DFT.

Calculated values
formation energy (no corrections): -2190 meV/atom
E: -26.84 eV per atom

Lattice parameters (Å, degrees): 7.3354 7.3354 7.3354 60.00 60.00 60.00
Fractional positions:
Nd 0.1250 0.6250 0.1250
Nd 0.1250 0.1250 0.6250
Nd 0.1250 0.1250 0.1250
Nd 0.6250 0.1250 0.1250
Pt 0.6250 0.1250 0.6250
Pt 0.6250 0.6250 0.1250
Pt 0.6250 0.6250 0.6250
Pt 0.1250 0.6250 0.6250
O 0.0000 0.0000 0.0000
O 0.2500 0.2500 0.2500
O 0.5400 0.9600 0.5400
O 0.2900 0.7100 0.2900
O 0.5400 0.5400 0.9600
O 0.5400 0.9600 0.9600
O 0.9600 0.5400 0.5400
O 0.9600 0.9600 0.5400
O 0.9600 0.5400 0.9600
O 0.2900 0.7100 0.7100
O 0.7100 0.2900 0.2900
O 0.7100 0.2900 0.7100
O 0.2900 0.2900 0.7100
O 0.7100 0.7100 0.2900